Entry 1:
The following is a PBE calculation of crystalline CuTeBr at its relaxed geometry, from the Alexandria database.

CIF file:
```
data_CuTeBr
_space_group_name_H-M_alt 'F d d d'
_space_group_IT_number 70
_cell_length_a 5.1956
_cell_length_b 23.0179
_cell_length_c 23.5750
_cell_angle_alpha 90.00
_cell_angle_beta 90.00
_cell_angle_gamma 90.00
loop_
_space_group_symop_operation_xyz
'x,y,z'
'-x,-y,-z'
'-x+1/4,-y+1/4,z'
'x+1/4,y+1/4,-z'
'x,-y+1/4,-z+1/4'
'-x,y+1/4,z+1/4'
'-x+1/4,y,-z+1/4'
'x+1/4,-y,z+1/4'
'x,y+1/2,z+1/2'
'-x,-y+1/2,-z+1/2'
'-x+1/4,-y+3/4,z+1/2'
'x+1/4,y+3/4,-z+1/2'
'x,-y+3/4,-z+3/4'
'-x,y+3/4,z+3/4'
'-x+1/4,y+1/2,-z+3/4'
'x+1/4,-y+1/2,z+3/4'
'x+1/2,y,z+1/2'
'-x+1/2,-y,-z+1/2'
'-x+3/4,-y+1/4,z+1/2'
'x+3/4,y+1/4,-z+1/2'
'x+1/2,-y+1/4,-z+3/4'
'-x+1/2,y+1/4,z+3/4'
'-x+3/4,y,-z+3/4'
'x+3/4,-y,z+3/4'
'x+1/2,y+1/2,z'
'-x+1/2,-y+1/2,-z'
'-x+3/4,-y+3/4,z'
'x+3/4,y+3/4,-z'
'x+1/2,-y+3/4,-z+1/4'
'-x+1/2,y+3/4,z+1/4'
'-x+3/4,y+1/2,-z+1/4'
'x+3/4,-y+1/2,z+1/4'
loop_
_atom_site_label
_atom_site_type_symbol
_atom_site_fract_x
_atom_site_fract_y
_atom_site_fract_z
Cu1 Cu 0.1250 0.1250 0.1250
Cu2 Cu 0.1250 0.1250 0.6250
Cu3 Cu 0.1250 0.2606 0.1250
Te1 Te 0.0279 0.0690 0.4257
Br1 Br 0.1242 0.3087 0.3111
```

## Properties
DFT total energy = -3.185 eV per atom
Spin magnetization = 0.00 Bohr magnetons per cell



Entry 2:
The following is a PBE calculation of crystalline Ta2Co at its relaxed geometry, from the Alexandria database.

CIF file:
```
data_Ta2Co
_space_group_name_H-M_alt 'I 41/a m d'
_space_group_IT_number 141
_cell_length_a 2.8129
_cell_length_b 2.8129
_cell_length_c 24.3432
_cell_angle_alpha 90.00
_cell_angle_beta 90.00
_cell_angle_gamma 90.00
loop_
_space_group_symop_operation_xyz
'x,y,z'
'-x,-y,-z'
'-y+1/4,x+3/4,z+1/4'
'y+1/4,-x+3/4,-z+1/4'
'-x+1/2,-y,z+1/2'
'x+1/2,y,-z+1/2'
'y+1/4,-x+1/4,z+3/4'
'-y+1/4,x+1/4,-z+3/4'
'x,-y,-z'
'-x,y,z'
'-y+1/4,-x+1/4,-z+3/4'
'y+1/4,x+1/4,z+3/4'
'-x+1/2,y,-z+1/2'
'x+1/2,-y,z+1/2'
'y+1/4,x+3/4,-z+1/4'
'-y+1/4,-x+3/4,z+1/4'
'x+1/2,y+1/2,z+1/2'
'-x+1/2,-y+1/2,-z+1/2'
'-y+3/4,x+1/4,z+3/4'
'y+3/4,-x+1/4,-z+3/4'
'-x,-y+1/2,z'
'x,y+1/2,-z'
'y+3/4,-x+3/4,z+1/4'
'-y+3/4,x+3/4,-z+1/4'
'x+1/2,-y+1/2,-z+1/2'
'-x+1/2,y+1/2,z+1/2'
'-y+3/4,-x+3/4,-z+1/4'
'y+3/4,x+3/4,z+1/4'
'-x,y+1/2,-z'
'x,-y+1/2,z'
'y+3/4,x+1/4,-z+3/4'
'-y+3/4,-x+1/4,z+3/4'
loop_
_atom_site_label
_atom_site_type_symbol
_atom_site_fract_x
_atom_site_fract_y
_atom_site_fract_z
Ta1 Ta 0.0000 0.2500 0.3025
Co1 Co 0.0000 0.2500 0.8750
```

## Properties
ΔE_f = 0.157 eV/atom
DFT total energy = -10.114 eV per atom
Spin magnetization = 0.75 Bohr magnetons per cell



Entry 3:
The following is a PBE calculation of crystalline FeSiTc3 at its relaxed geometry, from the Alexandria database.

CIF file:
```
data_FeSiTc3
_space_group_name_H-M_alt 'P m -3 m'
_space_group_IT_number 221
_space_group_name_Hall '-P 4 2 3'
_cell_length_a 4.3741
_cell_length_b 4.3741
_cell_length_c 4.3741
_cell_angle_alpha 90.00
_cell_angle_beta 90.00
_cell_angle_gamma 90.00
loop_
_atom_site_label
_atom_site_type_symbol
_atom_site_fract_x
_atom_site_fract_y
_atom_site_fract_z
Fe1 Fe 0.0000 0.0000 0.0000
Si1 Si 0.5000 0.5000 0.5000
Tc1 Tc 0.0000 0.0000 0.5000
```

## Properties
Excess energy over the best structure of this formula in the dataset = 72 meV/atom
DFT total energy = -7.696 eV per atom
Spin magnetization = 1.03 Bohr magnetons per cell



Entry 4:
The following is a PBE calculation of crystalline FeCo15Ni4 at its relaxed geometry, from the Alexandria database.

CIF file:
```
data_FeCo15Ni4
_space_group_name_H-M_alt 'P 4/m m m'
_space_group_IT_number 123
_space_group_name_Hall '-P 4 2'
_cell_length_a 3.5295
_cell_length_b 3.5295
_cell_length_c 17.5799
_cell_angle_alpha 90.00
_cell_angle_beta 90.00
_cell_angle_gamma 90.00
loop_
_atom_site_label
_atom_site_type_symbol
_atom_site_fract_x
_atom_site_fract_y
_atom_site_fract_z
Fe1 Fe 0.0000 0.0000 0.0000
Co1 Co 0.0000 0.5000 0.1019
Co2 Co 0.0000 0.5000 0.3006
Co3 Co 0.0000 0.5000 0.5000
Co4 Co 0.5000 0.5000 0.0000
Co5 Co 0.5000 0.5000 0.2007
Co6 Co 0.5000 0.5000 0.4004
Ni1 Ni 0.0000 0.0000 0.2009
Ni2 Ni 0.0000 0.0000 0.4003
```

## Properties
ΔE_f = 0.007 eV/atom
DFT total energy = -6.901 eV per atom
Spin magnetization = 29.85 Bohr magnetons per cell



Entry 5:
The following is a PBE calculation of crystalline BaZnGaAg2 at its relaxed geometry, from the Alexandria database.

CIF file:
```
data_BaZnGaAg2
_space_group_name_H-M_alt 'P 4/m m m'
_space_group_IT_number 123
_space_group_name_Hall '-P 4 2'
_cell_length_a 5.0912
_cell_length_b 5.0912
_cell_length_c 5.0547
_cell_angle_alpha 90.00
_cell_angle_beta 90.00
_cell_angle_gamma 90.00
loop_
_atom_site_label
_atom_site_type_symbol
_atom_site_fract_x
_atom_site_fract_y
_atom_site_fract_z
Ba1 Ba 0.0000 0.0000 0.0000
Zn1 Zn 0.5000 0.5000 0.0000
Ga1 Ga 0.5000 0.5000 0.5000
Ag1 Ag 0.0000 0.5000 0.5000
```

## Properties
Excess energy over the best structure of this formula in the dataset = 120 meV/atom
ΔE_f = -0.104 eV/atom
DFT total energy = -2.489 eV per atom
Spin magnetization = 0.00 Bohr magnetons per cell



Entry 6:
The following is a PBE calculation of crystalline Mn2ReCl at its relaxed geometry, from the Alexandria database.

CIF file:
```
data_Mn2ReCl
_space_group_name_H-M_alt 'P 4/m m m'
_space_group_IT_number 123
_space_group_name_Hall '-P 4 2'
_cell_length_a 2.9033
_cell_length_b 2.9033
_cell_length_c 7.3519
_cell_angle_alpha 90.00
_cell_angle_beta 90.00
_cell_angle_gamma 90.00
loop_
_atom_site_label
_atom_site_type_symbol
_atom_site_fract_x
_atom_site_fract_y
_atom_site_fract_z
Mn1 Mn 0.0000 0.0000 0.2271
Re1 Re 0.5000 0.5000 0.0000
Cl1 Cl 0.5000 0.5000 0.5000
```

## Properties
Excess energy over the best structure of this formula in the dataset = 121 meV/atom
DFT total energy = -7.938 eV per atom
Spin magnetization = 5.95 Bohr magnetons per cell